MgCo2N2: PBEsol geometry, meta-GGA SCAN.

M_tot (μB/cell): 0.00
Calculated total energy (eV per atom): -11.430
Formation energy without anion corrections (meV/atom): 203

Cell lengths 3.5563, 3.5563, 4.5625 Å; angles 112.94, 112.94, 90.00 degrees
With the nearest neighbours (Å) after each atom.
Sites, in units of the cell vectors:
Co 0.6613 0.6613 0.3226  4 N 1.90
Mg 0.0000 0.0000 0.0000  10 Co 2.58-2.80, 8 N 2.60
N 0.7500 0.2500 0.5000  4 Co 1.90
Co 0.3387 0.3387 0.6774  4 N 1.90
N 0.2500 0.7500 0.5000  4 Co 1.90

AlV4S8: PBEsol geometry, meta-GGA SCAN.

M_tot (μB/cell): 5.01
Calculated total energy (eV per atom): -13.073
Formation energy without anion corrections (meV/atom): -1170

Cell lengths 6.7207, 6.7207, 6.7207 Å; angles 60.00, 60.00, 60.00 degrees
With the nearest neighbours (Å) after each atom.
Sites, in units of the cell vectors:
Al 0.0000 0.0000 0.0000  4 S 2.25
S 0.1367 0.1367 0.1367  1 Al 2.25, 3 V 2.50
V 0.3961 0.8116 0.3961  6 S 2.26-2.50
S 0.1367 0.1367 0.5900  1 Al 2.25, 3 V 2.50
S 0.1082 0.6306 0.6306  3 V 2.26
S 0.5900 0.1367 0.1367  1 Al 2.25, 3 V 2.50
V 0.3961 0.3961 0.3961  6 S 2.26-2.50
V 0.8116 0.3961 0.3961  6 S 2.26-2.50
V 0.3961 0.3961 0.8116  6 S 2.26-2.50
S 0.6306 0.6306 0.6306  3 V 2.26
S 0.1367 0.5900 0.1367  1 Al 2.25, 3 V 2.50
S 0.6306 0.6306 0.1082  3 V 2.26
S 0.6306 0.1082 0.6306  3 V 2.26